Entry 1:
This record from the Alexandria database describes crystalline CsP2Pd3 at its relaxed geometry. The functional is GGA-PBE.

Computed properties:
distance to the lowest polymorph of the same formula = 0 meV/atom
calculated density = 6.4 g/cm³
density of states at the Fermi level = 4.9 states/eV/cell
calculated formation energy = -445 meV/atom

Cell lengths 7.898, 7.898, 9.313 Å; angles 111.71, 111.71, 29.58 degrees
Atoms (fractional coordinates):
Cs (0.147, 0.147, 0.060)
Cs (0.853, 0.853, 0.940)
P (0.177, 0.177, 0.624)
P (0.477, 0.477, 0.760)
P (0.523, 0.523, 0.240)
P (0.823, 0.823, 0.376)
Pd (0.048, 0.048, 0.379)
Pd (0.316, 0.316, 0.563)
Pd (0.410, 0.410, 0.359)
Pd (0.590, 0.590, 0.641)
Pd (0.684, 0.684, 0.437)
Pd (0.952, 0.952, 0.621)

Entry 2:
This record from the Alexandria database describes crystalline CsP6Pd12 at its relaxed geometry. The functional is GGA-PBE.

Computed properties:
calculated density = 8.2 g/cm³
density of states at the Fermi level = 6.7 states/eV/cell
calculated formation energy = -437 meV/atom

Cell lengths 7.116, 7.116, 7.116 Å; angles 103.74, 103.74, 103.74 degrees
Atoms (fractional coordinates):
Cs (0.000, 0.000, 0.000)
P (0.233, 0.233, 0.659)
P (0.233, 0.659, 0.233)
P (0.341, 0.767, 0.767)
P (0.659, 0.233, 0.233)
P (0.767, 0.341, 0.767)
P (0.767, 0.767, 0.341)
Pd (0.128, 0.500, 0.872)
Pd (0.128, 0.872, 0.500)
Pd (0.183, 0.461, 0.461)
Pd (0.461, 0.183, 0.461)
Pd (0.461, 0.461, 0.183)
Pd (0.500, 0.128, 0.872)
Pd (0.500, 0.872, 0.128)
Pd (0.539, 0.539, 0.817)
Pd (0.539, 0.817, 0.539)
Pd (0.817, 0.539, 0.539)
Pd (0.872, 0.128, 0.500)
Pd (0.872, 0.500, 0.128)

Entry 3:
This record from the Alexandria database describes crystalline CsP12Pd4 at its relaxed geometry. The functional is GGA-PBE.

Computed properties:
calculated density = 5.3 g/cm³
density of states at the Fermi level = 6.4 states/eV/cell
calculated formation energy = -267 meV/atom

Cell lengths 7.241, 7.241, 7.241 Å; angles 109.47, 109.47, 109.47 degrees
Atoms (fractional coordinates):
Cs (0.000, 0.000, 0.000)
P (0.135, 0.503, 0.368)
P (0.135, 0.767, 0.632)
P (0.233, 0.368, 0.865)
P (0.368, 0.135, 0.503)
P (0.368, 0.865, 0.233)
P (0.497, 0.632, 0.865)
P (0.503, 0.368, 0.135)
P (0.632, 0.135, 0.767)
P (0.632, 0.865, 0.497)
P (0.767, 0.632, 0.135)
P (0.865, 0.233, 0.368)
P (0.865, 0.497, 0.632)
Pd (0.000, 0.000, 0.500)
Pd (0.000, 0.500, 0.000)
Pd (0.500, 0.000, 0.000)
Pd (0.500, 0.500, 0.500)

Electronic total energy (computed, eV/atom): -4.9870; -5.4696; -5.3580